No. 1
Here is crystalline LiIr2OsSe at its relaxed geometry from Alexandria. Energies are from PBE-GGA.

Values from the calculation:
Raw formation energy (eV/atom): 1.29
E_tot (Ry/atom): -0.4103

Unit cell a=4.6082 b=4.6082 c=4.1112 alpha=90.00 beta=90.00 gamma=90.00
Space group P4/mmm (No. 123)
One atom of each set of equivalent atoms:
Li1 0.0000 0.0000 0.0000 [1 per cell]
Ir1 0.0000 0.5000 0.5000 [2 per cell]
Os1 0.5000 0.5000 0.0000 [1 per cell]
Se1 0.0000 0.0000 0.5000 [1 per cell]

---

No. 2
Here is crystalline LiSiIrOs at its relaxed geometry from Alexandria. Energies are from PBE-GGA.

Values from the calculation:
Raw formation energy (eV/atom): -0.37
E_tot (Ry/atom): -0.5314

Unit cell a=5.8220 b=5.8220 c=5.8220 alpha=90.00 beta=90.00 gamma=90.00
Space group F-43m (No. 216)
One atom of each set of equivalent atoms:
Li1 0.0000 0.0000 0.0000 [4 per cell]
Si1 0.0000 0.0000 0.5000 [4 per cell]
Ir1 0.2500 0.2500 0.2500 [4 per cell]
Os1 0.2500 0.2500 0.7500 [4 per cell]

---

No. 3
Here is crystalline LiUIrOs at its relaxed geometry from Alexandria. Energies are from PBE-GGA.

Values from the calculation:
E_tot (Ry/atom): -0.6204

Unit cell a=6.4411 b=6.4411 c=6.4411 alpha=90.00 beta=90.00 gamma=90.00
Space group F-43m (No. 216)
One atom of each set of equivalent atoms:
Li1 0.0000 0.0000 0.0000 [4 per cell]
U1 0.0000 0.0000 0.5000 [4 per cell]
Ir1 0.2500 0.2500 0.7500 [4 per cell]
Os1 0.2500 0.2500 0.2500 [4 per cell]

---

No. 4
Here is crystalline LiVIr2Os at its relaxed geometry from Alexandria. Energies are from PBE-GGA.

Values from the calculation:
E_tot (Ry/atom): -0.5034

Unit cell a=4.5473 b=4.5473 c=4.4898 alpha=90.00 beta=90.00 gamma=90.00
Space group P4/mmm (No. 123)
One atom of each set of equivalent atoms:
Li1 0.0000 0.0000 0.0000 [1 per cell]
V1 0.5000 0.5000 0.5000 [1 per cell]
Ir1 0.0000 0.5000 0.5000 [2 per cell]
Os1 0.5000 0.5000 0.0000 [1 per cell]

---

Question: Look up the E_tot of the first one.
Answer: -0.4103 Ry/atom